SrCa3Bi2S after structural relaxation. Source: the Alexandria database, functional PBE-GGA.

a = 5.2669 Å, b = 5.4539 Å, c = 16.7999 Å
α = 90.00°, β = 90.00°, γ = 90.00°
Space group Immm (No. 71)
One atom of each set of equivalent atoms:
Sr 0.0000 0.0000 0.0000
Ca 0.0000 0.0000 0.5000
Ca 0.0000 0.5000 0.1742
Bi 0.0000 0.5000 0.3622
S 0.0000 0.5000 0.0000

Results
E_tot   -0.144 Ha/atom
ΔE_f (raw)   -1.12 eV/atom